{
  "formula": "CaYAl",
  "functional": "PBEsol",
  "state": "relaxed",
  "total_magnetization_mub_per_fu": 0.00,
  "spacegroup": "I4mm, No. 107",
  "formation_enthalpy_0k_mev_per_atom": -185,
  "polymorph_energy_mev_per_atom": 0,
  "cell": [[-1.778, 1.778, 6.570], [1.778, -1.778, 6.570], [1.778, 1.778, -6.570]],
  "species": ["Ca", "Y", "Al"],
  "fractional_positions": [[0.000, 0.000, 0.000], [0.281, 0.281, 0.000], [0.650, 0.650, 0.000]]
}



{
  "formula": "Y6Nb4Al43",
  "functional": "PBEsol",
  "state": "relaxed",
  "total_magnetization_mub_per_fu": 0.00,
  "spacegroup": "P6_3/mcm, No. 193",
  "formation_enthalpy_0k_mev_per_atom": -338,
  "cell": [[11.027, 0.000, 0.000], [-5.514, 9.550, 0.000], [0.000, 0.000, 17.755]],
  "species": ["Y", "Y", "Y", "Y", "Y", "Y", "Y", "Y", "Y", "Y", "Y", "Y", "Nb", "Nb", "Nb", "Nb", "Nb", "Nb", "Nb", "Nb", "Al", "Al", "Al", "Al", "Al", "Al", "Al", "Al", "Al", "Al", "Al", "Al", "Al", "Al", "Al", "Al", "Al", "Al", "Al", "Al", "Al", "Al", "Al", "Al", "Al", "Al", "Al", "Al", "Al", "Al", "Al", "Al", "Al", "Al", "Al", "Al", "Al", "Al", "Al", "Al", "Al", "Al", "Al", "Al", "Al", "Al", "Al", "Al", "Al", "Al", "Al", "Al", "Al", "Al", "Al", "Al", "Al", "Al", "Al", "Al", "Al", "Al", "Al", "Al", "Al", "Al", "Al", "Al", "Al", "Al", "Al", "Al", "Al", "Al", "Al", "Al", "Al", "Al", "Al", "Al", "Al", "Al", "Al", "Al", "Al", "Al"],
  "fractional_positions": [[0.000, 0.470, 0.096], [0.000, 0.470, 0.404], [0.000, 0.530, 0.596], [0.000, 0.530, 0.904], [0.470, 0.000, 0.096], [0.470, 0.000, 0.404], [0.470, 0.470, 0.596], [0.470, 0.470, 0.904], [0.530, 0.000, 0.596], [0.530, 0.000, 0.904], [0.530, 0.530, 0.096], [0.530, 0.530, 0.404], [0.000, 0.000, 0.000], [0.000, 0.000, 0.500], [0.000, 0.273, 0.250], [0.000, 0.727, 0.750], [0.273, 0.000, 0.250], [0.273, 0.273, 0.750], [0.727, 0.000, 0.750], [0.727, 0.727, 0.250], [0.000, 0.149, 0.750], [0.000, 0.159, 0.115], [0.000, 0.159, 0.385], [0.000, 0.256, 0.530], [0.000, 0.256, 0.970], [0.000, 0.744, 0.030], [0.000, 0.744, 0.470], [0.000, 0.841, 0.615], [0.000, 0.841, 0.885], [0.000, 0.851, 0.250], [0.149, 0.000, 0.750], [0.149, 0.149, 0.250], [0.150, 0.555, 0.250], [0.150, 0.595, 0.750], [0.158, 0.395, 0.663], [0.158, 0.395, 0.837], [0.158, 0.763, 0.163], [0.158, 0.763, 0.337], [0.159, 0.000, 0.115], [0.159, 0.000, 0.385], [0.159, 0.159, 0.615], [0.159, 0.159, 0.885], [0.237, 0.395, 0.163], [0.237, 0.395, 0.337], [0.237, 0.842, 0.663], [0.237, 0.842, 0.837], [0.247, 0.495, 0.000], [0.247, 0.495, 0.500], [0.247, 0.753, 0.000], [0.247, 0.753, 0.500], [0.256, 0.000, 0.530], [0.256, 0.000, 0.970], [0.256, 0.256, 0.030], [0.256, 0.256, 0.470], [0.333, 0.667, 0.125], [0.333, 0.667, 0.375], [0.333, 0.667, 0.625], [0.333, 0.667, 0.875], [0.395, 0.158, 0.663], [0.395, 0.158, 0.837], [0.395, 0.237, 0.163], [0.395, 0.237, 0.337], [0.405, 0.555, 0.750], [0.405, 0.850, 0.250], [0.445, 0.595, 0.250], [0.445, 0.850, 0.750], [0.495, 0.247, 0.000], [0.495, 0.247, 0.500], [0.505, 0.753, 0.000], [0.505, 0.753, 0.500], [0.555, 0.150, 0.250], [0.555, 0.405, 0.750], [0.595, 0.150, 0.750], [0.595, 0.445, 0.250], [0.605, 0.763, 0.663], [0.605, 0.763, 0.837], [0.605, 0.842, 0.163], [0.605, 0.842, 0.337], [0.667, 0.333, 0.125], [0.667, 0.333, 0.375], [0.667, 0.333, 0.625], [0.667, 0.333, 0.875], [0.744, 0.000, 0.030], [0.744, 0.000, 0.470], [0.744, 0.744, 0.530], [0.744, 0.744, 0.970], [0.753, 0.247, 0.000], [0.753, 0.247, 0.500], [0.753, 0.505, 0.000], [0.753, 0.505, 0.500], [0.763, 0.158, 0.163], [0.763, 0.158, 0.337], [0.763, 0.605, 0.663], [0.763, 0.605, 0.837], [0.841, 0.000, 0.615], [0.841, 0.000, 0.885], [0.841, 0.841, 0.115], [0.841, 0.841, 0.385], [0.842, 0.237, 0.663], [0.842, 0.237, 0.837], [0.842, 0.605, 0.163], [0.842, 0.605, 0.337], [0.850, 0.405, 0.250], [0.850, 0.445, 0.750], [0.851, 0.000, 0.250], [0.851, 0.851, 0.750]]
}



{
  "formula": "LiPm2Sn",
  "functional": "PBEsol",
  "state": "relaxed",
  "total_magnetization_mub_per_fu": 0.00,
  "spacegroup": "Fm-3m, No. 225",
  "formation_enthalpy_0k_mev_per_atom": -468,
  "cell": [[0.000, 3.731, 3.731], [3.731, 0.000, 3.731], [3.731, 3.731, 0.000]],
  "species": ["Li", "Pm", "Pm", "Sn"],
  "fractional_positions": [[0.000, 0.000, 0.000], [0.250, 0.250, 0.250], [0.750, 0.750, 0.750], [0.500, 0.500, 0.500]]
}



{
  "formula": "MnOs3",
  "functional": "PBEsol",
  "state": "relaxed",
  "total_magnetization_mub_per_fu": 0.00,
  "spacegroup": "P-6m2, No. 187",
  "formation_enthalpy_0k_mev_per_atom": 27,
  "cell": [[2.691, 0.000, 0.000], [-1.346, 2.331, 0.000], [0.000, 0.000, 8.408]],
  "species": ["Mn", "Os", "Os", "Os"],
  "fractional_positions": [[0.000, 0.000, 0.000], [0.000, 0.000, 0.500], [0.667, 0.333, 0.239], [0.667, 0.333, 0.761]]
}



{
  "formula": "Ba2SrCa",
  "functional": "PBEsol",
  "state": "relaxed",
  "total_magnetization_mub_per_fu": 0.00,
  "spacegroup": "Cmmm, No. 65",
  "formation_enthalpy_0k_mev_per_atom": 18,
  "polymorph_energy_mev_per_atom": 2,
  "cell": [[2.404, -3.272, 0.000], [2.404, 3.272, 0.000], [0.000, 0.000, 13.061]],
  "species": ["Ba", "Ba", "Sr", "Ca"],
  "fractional_positions": [[0.000, 0.000, 0.242], [0.000, 0.000, 0.758], [0.500, 0.500, 0.500], [0.500, 0.500, 0.000]]
}



{
  "formula": "Na2BeSiO4",
  "functional": "PBEsol",
  "state": "relaxed",
  "total_magnetization_mub_per_fu": 0.00,
  "spacegroup": "P2_1/c, No. 14",
  "e_form_raw_mev_per_atom": -2480,
  "polymorph_energy_mev_per_atom": 0,
  "cell": [[7.044, 0.000, 0.000], [0.000, 4.960, 0.000], [-0.008, 0.000, 9.935]],
  "species": ["Na", "Na", "Na", "Na", "Na", "Na", "Na", "Na", "Be", "Be", "Be", "Be", "Si", "Si", "Si", "Si", "O", "O", "O", "O", "O", "O", "O", "O", "O", "O", "O", "O", "O", "O", "O", "O"],
  "fractional_positions": [[0.001, 0.209, 0.390], [0.001, 0.291, 0.890], [0.265, 0.682, 0.360], [0.265, 0.818, 0.860], [0.735, 0.182, 0.140], [0.735, 0.318, 0.640], [0.999, 0.709, 0.110], [0.999, 0.791, 0.610], [0.499, 0.658, 0.088], [0.499, 0.842, 0.588], [0.501, 0.158, 0.412], [0.501, 0.342, 0.912], [0.278, 0.156, 0.158], [0.278, 0.344, 0.658], [0.722, 0.656, 0.342], [0.722, 0.844, 0.842], [0.060, 0.235, 0.124], [0.060, 0.265, 0.624], [0.314, 0.664, 0.621], [0.314, 0.836, 0.121], [0.317, 0.208, 0.319], [0.317, 0.292, 0.819], [0.439, 0.167, 0.574], [0.439, 0.333, 0.074], [0.561, 0.667, 0.926], [0.561, 0.833, 0.426], [0.683, 0.708, 0.181], [0.683, 0.792, 0.681], [0.686, 0.164, 0.879], [0.686, 0.336, 0.379], [0.940, 0.735, 0.376], [0.940, 0.765, 0.876]]
}



{
  "formula": "GaHgAuO2",
  "functional": "PBEsol",
  "state": "relaxed",
  "total_magnetization_mub_per_fu": 0.60,
  "spacegroup": "P4/mmm, No. 123",
  "e_form_raw_mev_per_atom": 590,
  "cell": [[3.998, 0.000, 0.000], [0.000, 3.998, 0.000], [0.000, 0.000, 5.892]],
  "species": ["Ga", "Hg", "Au", "O", "O"],
  "fractional_positions": [[0.000, 0.000, 0.000], [0.000, 0.000, 0.500], [0.500, 0.500, 0.000], [0.000, 0.500, 0.500], [0.500, 0.000, 0.500]]
}



{
  "formula": "HfSc2Ir2",
  "functional": "PBEsol",
  "state": "relaxed",
  "total_magnetization_mub_per_fu": 0.00,
  "spacegroup": "P4/mbm, No. 127",
  "formation_enthalpy_0k_mev_per_atom": -741,
  "cell": [[6.892, 0.000, 0.000], [0.000, 6.892, 0.000], [0.000, 0.000, 3.934]],
  "species": ["Hf", "Hf", "Sc", "Sc", "Sc", "Sc", "Ir", "Ir", "Ir", "Ir"],
  "fractional_positions": [[0.000, 0.000, 0.000], [0.500, 0.500, 0.000], [0.168, 0.332, 0.500], [0.332, 0.832, 0.500], [0.668, 0.168, 0.500], [0.832, 0.668, 0.500], [0.139, 0.639, 0.000], [0.361, 0.139, 0.000], [0.639, 0.861, 0.000], [0.861, 0.361, 0.000]]
}



no.,E (eV/f.u.)
1,-13.60
2,-278.09
3,-18.37
4,-46.30
5,-8.20
6,-53.38
7,-15.38
8,-47.07